Entry 1:
The following is a PBE calculation of a relaxed Pr3InSn2 crystal, from Alexandria.

Summary:
- E above lowest polymorph (eV per atom) = 0.0412
- DOS at the Fermi energy (states/eV/atom) = 0.72
- crystal system = monoclinic

Cell: 9.281 9.281 6.412 Å, 101.62 101.62 41.52°
Positions (direct):
Pr1 0.135 0.865 0.750
Pr2 0.211 0.444 0.396
Pr3 0.444 0.211 0.896
Pr4 0.556 0.789 0.104
Pr5 0.789 0.556 0.604
Pr6 0.865 0.135 0.250
In1 0.371 0.629 0.250
In2 0.629 0.371 0.750
Sn1 0.049 0.269 0.060
Sn2 0.269 0.049 0.560
Sn3 0.731 0.951 0.440
Sn4 0.951 0.731 0.940

=====

Entry 2:
The following is a PBE calculation of a relaxed Cs2RbGeSe4 crystal, from Alexandria.

Summary:
- DOS at the Fermi energy (states/eV/atom) = 0.65
- crystal system = orthorhombic
- formation energy from raw total energies (eV/atom) = -0.7148

Cell: 13.973 12.326 8.461 Å, 82.21 60.93 36.86°
Positions (direct):
Cs1 0.063 0.063 0.687
Cs2 0.313 0.313 0.937
Cs3 0.687 0.687 0.063
Cs4 0.937 0.937 0.313
Rb1 0.125 0.125 0.125
Rb2 0.875 0.875 0.875
Ge1 0.375 0.375 0.375
Ge2 0.625 0.625 0.625
Se1 0.048 0.577 0.508
Se2 0.367 0.508 0.577
Se3 0.423 0.952 0.633
Se4 0.492 0.633 0.952
Se5 0.508 0.367 0.048
Se6 0.577 0.048 0.367
Se7 0.633 0.492 0.423
Se8 0.952 0.423 0.492

=====

Entry 3:
The following is a PBE calculation of a relaxed Y5Th3S8 crystal, from Alexandria.

Summary:
- DOS at the Fermi energy (states/eV/atom) = 0.42
- crystal system = trigonal
- formation energy from raw total energies (eV/atom) = -1.9264

Cell: 8.001 8.001 8.001 Å, 58.89 58.89 58.89°
Positions (direct):
Y1 0.000 0.000 0.000
Y2 0.000 0.500 0.500
Y3 0.500 0.000 0.500
Y4 0.500 0.500 0.000
Y5 0.500 0.500 0.500
Th1 0.000 0.000 0.500
Th2 0.000 0.500 0.000
Th3 0.500 0.000 0.000
S1 0.250 0.250 0.741
S2 0.250 0.741 0.250
S3 0.255 0.255 0.255
S4 0.259 0.750 0.750
S5 0.741 0.250 0.250
S6 0.745 0.745 0.745
S7 0.750 0.259 0.750
S8 0.750 0.750 0.259

=====

Entry 4:
The following is a PBE calculation of a relaxed Ca2PtRhN crystal, from Alexandria.

Summary:
- DOS at the Fermi energy (states/eV/atom) = 0.79
- crystal system = tetragonal
- formation energy from raw total energies (eV/atom) = -0.6678

Cell: 5.002 5.002 3.765 Å, 90.00 90.00 90.00°
Positions (direct):
Ca1 0.000 0.500 0.000
Ca2 0.500 0.000 0.000
Pt1 0.000 0.000 0.500
Rh1 0.500 0.500 0.500
N1 0.500 0.500 0.000

=====

Entry 5:
The following is a PBE calculation of a relaxed ZnRu2S2 crystal, from Alexandria.

Summary:
- E above lowest polymorph (eV per atom) = 0.3674
- DOS at the Fermi energy (states/eV/atom) = 0.80
- crystal system = tetragonal
- formation energy from raw total energies (eV/atom) = 0.2555

Cell: 7.060 7.060 2.911 Å, 90.00 90.00 90.00°
Positions (direct):
Zn1 0.000 0.000 0.000
Zn2 0.500 0.500 0.000
Ru1 0.180 0.320 0.500
Ru2 0.320 0.820 0.500
Ru3 0.680 0.180 0.500
Ru4 0.820 0.680 0.500
S1 0.140 0.640 0.000
S2 0.360 0.140 0.000
S3 0.640 0.860 0.000
S4 0.860 0.360 0.000

=====

Entry 6:
The following is a PBE calculation of a relaxed VB2Mo crystal, from Alexandria.

Summary:
- E above lowest polymorph (eV per atom) = 0.7406
- DOS at the Fermi energy (states/eV/atom) = 0.49
- crystal system = tetragonal

Cell: 4.830 4.830 4.830 Å, 106.57 106.57 115.45°
Positions (direct):
V1 0.000 0.000 0.000
V2 0.750 0.250 0.500
B1 0.118 0.625 0.993
B2 0.375 0.368 0.493
B3 0.632 0.125 0.007
B4 0.875 0.882 0.507
Mo1 0.250 0.750 0.500
Mo2 0.500 0.500 0.000

=====

Entry 7:
The following is a PBE calculation of a relaxed Tm2PuPbO8 crystal, from Alexandria.

Summary:
- DOS at the Fermi energy (states/eV/atom) = 0.35
- crystal system = orthorhombic
- formation energy from raw total energies (eV/atom) = -2.5583

Cell: 5.014 5.014 6.956 Å, 90.00 90.00 92.25°
Positions (direct):
Tm1 0.000 0.000 0.249
Tm2 0.000 0.000 0.751
Pu1 0.500 0.500 0.500
Pb1 0.500 0.500 0.000
O1 0.196 0.196 0.000
O2 0.206 0.206 0.500
O3 0.311 0.689 0.271
O4 0.311 0.689 0.729
O5 0.689 0.311 0.271
O6 0.689 0.311 0.729
O7 0.794 0.794 0.500
O8 0.804 0.804 0.000

=====

Entry 8:
The following is a PBE calculation of a relaxed KMg2Rh crystal, from Alexandria.

Summary:
- E above lowest polymorph (eV per atom) = 0.0000
- DOS at the Fermi energy (states/eV/atom) = 0.38
- crystal system = monoclinic

Cell: 3.282 3.281 9.229 Å, 90.00 90.58 90.00°
Positions (direct):
K1 0.000 0.000 0.000
Mg1 0.495 0.500 0.346
Mg2 0.505 0.500 0.654
Rh1 0.000 0.000 0.500